Density functional theory data (PBE-GGA) for an optimized crystal structure of Ba6Hg5Br.

Results
DOS(E_F) (states/eV per atom): 0.715
Crystal system: orthorhombic
DFT total energy (eV/atom): -1.89

Cell: 5.9617 8.3982 10.3357 Å, 113.97 106.76 90.00°
Last column: nearest neighbours and their distance in Å.
Fractional coordinates of all 12 atoms:
Ba  0.5000  0.2525  0.0000  6 Hg 3.63-3.78, 2 Br 3.66
Ba  0.8322  0.5814  0.6645  7 Hg 3.52-3.66, 1 Br 3.67
Ba  0.1678  0.9169  0.3355  7 Hg 3.52-3.66, 1 Br 3.67
Hg  0.3342  0.3342  0.6684  8 Ba 3.63-3.65
Hg  0.6658  0.6658  0.3316  8 Ba 3.63-3.65
Br  0.0000  0.0000  0.0000  8 Ba 3.66-3.67
Hg  0.0000  0.5000  0.0000  8 Ba 3.63-3.66
Ba  0.5000  0.7475  0.0000  6 Hg 3.63-3.78, 2 Br 3.66
Hg  0.6745  0.1745  0.3491  8 Ba 3.52-3.78
Ba  0.1678  0.4186  0.3355  7 Hg 3.52-3.66, 1 Br 3.67
Hg  0.3255  0.8255  0.6509  8 Ba 3.52-3.78
Ba  0.8322  0.0831  0.6645  7 Hg 3.52-3.66, 1 Br 3.67

***

Density functional theory data (PBE-GGA) for an optimized crystal structure of TaAl2CdSn.

Results
Formation energy from the elements (eV per atom): 1.3175
DOS(E_F) (states/eV per atom): 0.971
Crystal system: tetragonal
DFT total energy (eV/atom): -3.53

Cell: 5.0768 5.2887 5.0768 Å, 90.00 90.00 90.00°
Last column: nearest neighbours and their distance in Å.
Fractional coordinates of all 5 atoms:
Ta  0.0000  0.5000  0.0000  2 Sn 2.64
Al  0.0000  0.0000  0.5000  2 Sn 2.54
Cd  0.5000  0.5000  0.5000  4 Ta 3.59, 8 Al 3.67
Al  0.5000  0.0000  0.0000  2 Sn 2.54
Sn  0.0000  0.0000  0.0000  4 Al 2.54, 2 Ta 2.64

***

Density functional theory data (PBE-GGA) for an optimized crystal structure of OsPt4.

Results
Formation energy from the elements (eV per atom): 0.7275
DOS(E_F) (states/eV per atom): 1.482
Crystal system: cubic
DFT total energy (eV/atom): -6.35
Relative energy among the computed polymorphs (meV/atom): 738.2

Cell: 5.0238 5.0238 5.0238 Å, 109.47 109.47 109.47°
Last column: nearest neighbours and their distance in Å.
Fractional coordinates of all 5 atoms:
Pt  0.0000  0.0000  0.5000  2 Os 2.51
Pt  0.5000  0.0000  0.0000  2 Os 2.51
Pt  0.0000  0.5000  0.0000  2 Os 2.51
Pt  0.5000  0.5000  0.5000  2 Os 2.51
Os  0.0000  0.0000  0.0000  8 Pt 2.51

***

Density functional theory data (PBE-GGA) for an optimized crystal structure of MgVAg.

Results
Formation energy from the elements (eV per atom): 0.0840
DOS(E_F) (states/eV per atom): 0.800
Crystal system: triclinic
DFT total energy (eV/atom): -4.44
Relative energy among the computed polymorphs (meV/atom): 37.8

Cell: 13.3406 2.8470 2.8469 Å, 109.63 89.71 90.29°
Last column: nearest neighbours and their distance in Å.
Fractional coordinates of all 6 atoms:
V  0.2360  0.3257  0.5949  2 V 2.39
V  0.1057  0.8235  0.0965  2 V 2.39
Ag  0.5888  0.3256  0.5943  4 Mg 2.83-2.87, 4 Ag 2.85
Mg  0.4127  0.8320  0.0901  4 Mg 2.85, 2 Ag 2.86-2.87, 2 V 2.87
Mg  0.7622  0.8117  0.1061  4 Ag 2.82-2.84, 4 Mg 2.85
Ag  0.9345  0.3219  0.5975  2 V 2.81, 2 Mg 2.82-2.83, 4 Ag 2.85